(1)
Material: Pa2Pd6Rh
Method: DFT, PBE
State: relaxed

Structure (extended XYZ):
```
9
Lattice="3.871 0.000 -1.158 -0.663 6.278 -2.218 -0.142 0.000 6.577" Properties=species:S:1:pos:R:3 pbc="T T T"
Pa 3.385 1.229 4.267
Pa -0.319 5.050 -1.065
Pd 0.861 5.269 2.879
Pd 2.205 1.010 0.322
Pd 2.197 5.230 0.295
Pd 0.277 3.138 0.927
Pd 0.869 1.048 2.906
Pd 2.789 3.141 2.274
Rh 1.604 3.139 -1.688
```

**Calculated formation energy**: -0.653 eV per atom
**Space-group type**: C2/m
**Calculated density**: 12.6 g/cm3

(2)
Material: PaPdRh
Method: DFT, PBE
State: relaxed

Structure (extended XYZ):
```
3
Lattice="-3.016 0.068 -0.932 1.256 -1.392 -4.167 -1.062 -3.072 3.212" Properties=species:S:1:pos:R:3 pbc="T T T"
Pa -2.337 -2.466 0.119
Rh -0.351 0.008 -0.108
Pd -0.134 -1.938 -1.898
```

**Calculated formation energy**: -0.459 eV per atom
**Space-group type**: P3m1
**Calculated density**: 12.8 g/cm3
**Excess energy over the best structure of this formula in the dataset**: 175 meV/atom

(3)
Material: PaPd2Rh
Method: DFT, PBE
State: relaxed

Structure (extended XYZ):
```
4
Lattice="4.669 0.000 0.000 2.334 4.043 0.000 2.334 1.348 3.812" Properties=species:S:1:pos:R:3 pbc="T T T"
Pa 4.669 2.696 1.906
Rh 0.000 0.000 0.000
Pd 7.003 4.043 2.860
Pd 2.334 1.348 0.953
```

**Calculated formation energy**: -0.498 eV per atom
**Space-group type**: Fm-3m
**Calculated density**: 12.6 g/cm3
**Excess energy over the best structure of this formula in the dataset**: 390 meV/atom

(4)
Material: PaPdRh2
Method: DFT, PBE
State: relaxed

Structure (extended XYZ):
```
4
Lattice="4.616 0.000 0.000 2.308 3.998 0.000 2.308 1.333 3.769" Properties=species:S:1:pos:R:3 pbc="T T T"
Pa 4.616 2.665 1.885
Rh 2.308 1.333 0.942
Rh 6.924 3.998 2.827
Pd 0.000 0.000 0.000
```

**Calculated formation energy**: -0.653 eV per atom
**Space-group type**: Fm-3m
**Calculated density**: 13.0 g/cm3
**Excess energy over the best structure of this formula in the dataset**: 248 meV/atom

(5)
Material: PaPd2Rh2
Method: DFT, PBE
State: relaxed

Structure (extended XYZ):
```
10
Lattice="-3.491 -0.699 -0.412 0.679 -5.722 3.951 -1.429 3.770 5.705" Properties=species:S:1:pos:R:3 pbc="T T T"
Pa 0.000 0.000 0.000
Pa -0.375 -0.976 4.828
Pd -0.990 1.169 6.399
Pd -0.315 -2.576 7.037
Pd 0.240 -3.120 3.257
Pd -0.435 0.625 2.620
Rh -2.585 1.210 4.256
Rh -2.483 -1.022 7.182
Rh -1.656 -3.861 4.988
Rh -1.757 -1.628 2.062
```

**Calculated formation energy**: -0.320 eV per atom
**Space-group type**: P4/mbm
**Calculated density**: 12.3 g/cm3

(6)
Material: Pa4Pd6Rh7
Method: DFT, PBE
State: relaxed

Structure (extended XYZ):
```
17
Lattice="6.872 0.000 -2.430 -3.436 5.951 -2.430 0.000 0.000 7.289" Properties=species:S:1:pos:R:3 pbc="T T T"
Pa 3.436 0.000 -1.215
Pa 1.718 2.976 1.215
Pa -1.718 2.976 -1.215
Pa 0.000 0.000 3.644
Pd 4.817 0.000 3.406
Pd 2.409 4.172 -3.406
Pd -1.027 1.779 1.453
Pd 2.054 0.000 1.453
Pd 1.027 1.779 -1.453
Pd -2.409 4.172 3.406
Rh 3.436 2.976 -1.215
Rh -0.859 4.463 1.215
Rh 0.859 4.463 -1.215
Rh 4.295 1.488 1.215
Rh 0.000 2.976 3.644
Rh 2.577 1.488 3.644
Rh 0.000 0.000 0.000
```

**Calculated formation energy**: -0.659 eV per atom
**Space-group type**: Im-3m
**Calculated density**: 12.7 g/cm3